GdHoBeNi: optimized geometry, PBE.

Lattice parameters (Å, degrees): 4.810 4.810 4.810 60.00 60.00 60.00
Fractional coordinates of all 4 atoms:
Gd1 0.000 0.000 0.000
Ho1 0.500 0.500 0.500
Be1 0.250 0.250 0.250
Ni1 0.750 0.750 0.750

Results
* energy of formation from the pure elements: -0.49 eV/f.u.
* size of the total moment: 7.0 μB per cell

---

BaTmAlSe4: optimized geometry, PBE.

Lattice parameters (Å, degrees): 6.779 7.050 8.744 90.00 107.42 90.00
Fractional coordinates of all 14 atoms:
Ba1 0.244 0.250 0.059
Ba2 0.756 0.750 0.941
Tm1 0.223 0.250 0.553
Tm2 0.777 0.750 0.447
Al1 0.234 0.750 0.329
Al2 0.766 0.250 0.671
Se1 0.010 0.507 0.715
Se2 0.010 0.993 0.715
Se3 0.431 0.750 0.147
Se4 0.457 0.750 0.592
Se5 0.543 0.250 0.408
Se6 0.569 0.250 0.853
Se7 0.990 0.007 0.285
Se8 0.990 0.493 0.285

Results
* formation energy without anion corrections: -1558 meV per atom
* size of the total moment: 0.0 μB per cell